Computed, not measured: crystalline SmGe6Pt12 at its relaxed geometry at the PBE level of DFT.

The structure in extended XYZ format:
```
19
Lattice="5.840 3.372 2.825 -5.840 3.372 2.825 0.000 -6.743 2.825" Properties=species:S:1:pos:R:3 pbc="T T T"
Sm 0.000 0.000 0.000
Ge 0.000 -2.840 3.424
Ge -2.460 1.420 3.424
Ge -2.460 -1.420 5.050
Ge 2.460 1.420 3.424
Ge 2.460 -1.420 5.050
Ge 0.000 2.840 5.050
Pt -2.182 -3.780 4.237
Pt -4.365 0.000 4.237
Pt -1.388 -0.801 2.577
Pt 1.388 -0.801 2.577
Pt 0.000 1.602 2.577
Pt 2.182 -3.780 4.237
Pt -2.182 3.780 4.237
Pt 0.000 -1.602 5.896
Pt -1.388 0.801 5.896
Pt 1.388 0.801 5.896
Pt 4.365 0.000 4.237
Pt 2.182 3.780 4.237
```

calculated total energy = -112.75 eV per cell
space group = R-3m


Computed, not measured: crystalline Sm8GePt2 at its relaxed geometry at the PBE level of DFT.

The structure in extended XYZ format:
```
11
Lattice="4.279 -6.455 0.000 4.279 6.455 0.000 -1.839 0.000 5.920" Properties=species:S:1:pos:R:3 pbc="T T T"
Sm 0.000 0.000 0.000
Sm 0.344 1.667 3.540
Sm 2.834 2.895 1.185
Sm 0.344 -1.667 3.540
Sm 3.478 1.697 4.828
Sm 2.834 -2.895 1.185
Sm 3.478 -1.697 4.828
Sm 5.517 0.000 2.219
Ge 3.077 0.000 0.124
Pt 1.914 4.057 4.047
Pt 1.914 -4.057 4.047
```

calculated total energy = -59.87 eV per cell
space group = Cm